## i
Er2HfMg | Alexandria | PBE | optimized geometry; total moment = 0.000 μB/atom; ρ = 8.43 Mg/m³
1.0
-3.343 0.252 -0.391
-0.091 -3.139 -1.238
-1.256 -3.348 8.580
Er Hf Mg
2 1 1
direct
0.000 0.000 0.258
0.000 0.000 0.742
0.500 0.500 0.500
0.500 0.500 0.000



## ii
Er2HfMg | Alexandria | PBE | optimized geometry; total moment = 0.000 μB/atom; ρ = 8.36 Mg/m³
1.0
3.345 0.000 0.000
1.672 2.896 0.000
1.672 0.965 11.015
Hf Er Mg
1 2 1
direct
0.667 0.667 0.000
0.254 0.254 0.238
0.079 0.079 0.762
0.500 0.500 0.500



i is favored, and the nearest alternative lies 73 meV per atom above it.



## i
ErHf2Mn | Alexandria | PBE | optimized geometry; total moment = 0.000 μB/atom; ρ = 10.92 Mg/m³
1.0
-2.103 -1.976 1.340
0.927 -2.879 0.987
1.794 2.184 9.814
Er Hf Mn
1 2 1
direct
0.000 0.000 0.000
0.895 0.895 0.316
0.105 0.105 0.684
0.500 0.500 0.500



## ii
ErHf2Mn | Alexandria | PBE | optimized geometry; total moment = 0.000 μB/atom; ρ = 11.42 Mg/m³
1.0
3.201 0.000 0.000
0.000 3.201 0.000
0.000 0.000 8.220
Mn Hf Er
1 2 1
direct
0.500 0.500 0.000
0.000 0.000 0.817
0.000 0.000 0.183
0.500 0.500 0.500



ii is favored, and the nearest alternative lies 304 meV per atom above it.



## i
Er3HfN4 | Alexandria | PBE | optimized geometry; total moment = 0.000 μB/atom; ρ = 11.40 Mg/m³
1.0
3.354 0.000 0.000
0.000 5.509 -1.877
0.000 -0.045 5.820
Hf N Er
1 4 3
direct
0.500 0.000 0.000
0.000 0.235 0.235
0.500 0.759 0.241
0.000 0.765 0.765
0.500 0.241 0.759
0.500 0.500 0.500
0.000 0.500 0.000
0.000 0.000 0.500



## ii
Er3HfN4 | Alexandria | PBE | optimized geometry; total moment = 0.000 μB/atom; ρ = 11.37 Mg/m³
1.0
-2.480 4.052 0.209
-3.632 -2.108 -2.231
-1.808 -1.323 4.194
N Hf Er
4 1 3
direct
0.500 0.000 0.000
0.000 0.000 0.500
0.500 0.500 0.500
0.000 0.500 0.000
0.000 0.000 0.000
0.000 0.500 0.500
0.500 0.500 0.000
0.500 0.000 0.500



i is favored, and the nearest alternative lies 56 meV per atom above it.



## i
ErHfN | Alexandria | PBE | optimized geometry; total moment = 0.000 μB/atom; ρ = 11.54 Mg/m³
1.0
-1.639 -3.567 2.103
3.972 -0.716 1.881
-1.370 3.011 4.038
N Er Hf
2 2 2
direct
0.000 0.500 0.500
0.500 0.000 0.500
0.500 0.000 0.000
0.000 0.500 0.000
0.000 0.000 0.500
0.500 0.500 0.500



## ii
ErHfN | Alexandria | PBE | optimized geometry; total moment = 0.000 μB/atom; ρ = 11.38 Mg/m³
1.0
3.480 0.000 0.000
0.000 4.334 0.000
0.000 0.000 6.960
Er N Hf
2 2 2
direct
0.500 0.500 0.000
0.500 0.500 0.500
0.000 0.500 0.250
0.000 0.500 0.750
0.000 0.000 0.750
0.000 0.000 0.250



## iii
ErHfN | Alexandria | PBE | optimized geometry; total moment = 0.078 μB/atom; ρ = 11.27 Mg/m³
1.0
-3.842 2.991 2.645
-2.394 -1.767 -1.479
1.236 -0.994 2.920
N Hf Er
1 1 1
direct
0.016 0.000 0.000
0.226 0.333 0.667
0.758 0.667 0.333



ii is favored, and the nearest alternative lies 23 meV per atom above it.



## i
ErHf2Nb | Alexandria | PBE | optimized geometry; total moment = 0.000 μB/atom; ρ = 10.83 Mg/m³
1.0
-1.461 -2.431 1.408
-1.453 -2.203 -1.750
8.256 -7.318 -0.506
Er Hf Nb
1 2 1
direct
0.000 0.000 0.000
0.095 0.095 0.714
0.905 0.905 0.286
0.500 0.500 0.500



## ii
ErHf2Nb | Alexandria | PBE | optimized geometry; total moment = 0.000 μB/atom; ρ = 11.05 Mg/m³
1.0
-2.419 2.407 1.000
-0.917 -2.064 2.747
5.030 3.321 4.174
Nb Er Hf
1 1 2
direct
0.500 0.500 0.000
0.500 0.500 0.500
0.000 0.000 0.796
0.000 0.000 0.204



ii is favored, and the nearest alternative lies 232 meV per atom above it.



## i
Er2HfNi | Alexandria | PBE | optimized geometry; total moment = 0.000 μB/atom; ρ = 9.88 Mg/m³
1.0
3.305 0.000 0.000
1.652 2.862 0.000
1.652 0.954 10.160
Er Hf Ni
2 1 1
direct
0.105 0.105 0.686
0.895 0.895 0.314
0.000 0.000 0.000
0.500 0.500 0.500



## ii
Er2HfNi | Alexandria | PBE | optimized geometry; total moment = 0.000 μB/atom; ρ = 10.68 Mg/m³
1.0
-2.521 0.877 2.050
-1.578 -2.888 -0.705
3.673 -3.472 6.003
Er Hf Ni
2 1 1
direct
0.000 0.000 0.791
0.000 0.000 0.209
0.500 0.500 0.500
0.500 0.500 0.000



ii is favored, and the nearest alternative lies 392 meV per atom above it.



## i
ErHfNi | Alexandria | PBE | optimized geometry; total moment = 0.000 μB/atom; ρ = 9.78 Mg/m³
1.0
-1.219 -2.535 -3.290
-0.475 -4.259 0.611
-8.680 -1.062 1.187
Er Ni Hf
2 2 2
direct
0.119 0.119 0.644
0.881 0.881 0.356
0.267 0.267 0.200
0.733 0.733 0.800
0.631 0.631 0.107
0.369 0.369 0.893



## ii
ErHfNi | Alexandria | PBE | optimized geometry; total moment = 0.290 μB/atom; ρ = 10.93 Mg/m³
1.0
-2.495 2.032 -0.657
-1.765 -1.394 2.392
4.214 3.447 2.865
Hf Er Ni
1 1 1
direct
0.300 0.300 0.600
0.014 0.014 0.027
0.686 0.686 0.373



ii is favored, and the nearest alternative lies 92 meV per atom above it.



## i
ErHfOs | Alexandria | PBE | optimized geometry; total moment = 0.000 μB/atom; ρ = 12.76 Mg/m³
1.0
-4.433 0.955 -0.885
-2.995 -3.434 -0.766
-3.246 -0.978 3.139
Er Os Hf
1 1 1
direct
0.500 0.500 0.500
0.250 0.250 0.250
0.000 0.000 0.000



## ii
ErHfOs | Alexandria | PBE | optimized geometry; total moment = 0.000 μB/atom; ρ = 13.30 Mg/m³
1.0
3.289 0.000 0.000
0.000 3.289 0.000
-1.645 -1.645 12.372
Hf Os Er
2 2 2
direct
0.293 0.293 0.586
0.707 0.707 0.414
0.855 0.855 0.709
0.145 0.145 0.291
0.575 0.575 0.150
0.425 0.425 0.850



ii is favored, and the nearest alternative lies 85 meV per atom above it.



## i
ErHfPa2 | Alexandria | PBE | optimized geometry; total moment = 0.000 μB/atom; ρ = 13.22 Mg/m³
1.0
4.972 0.000 0.000
0.000 4.517 0.000
0.000 0.000 4.517
Pa Er Hf
2 1 1
direct
0.000 0.500 0.000
0.000 0.000 0.500
0.500 0.500 0.500
0.500 0.000 0.000



## ii
ErHfPa2 | Alexandria | PBE | optimized geometry; total moment = 0.000 μB/atom; ρ = 13.06 Mg/m³
1.0
-3.661 3.010 2.270
-3.959 -2.224 2.645
-0.205 0.388 5.239
Hf Pa Er
1 2 1
direct
0.500 0.500 0.500
0.250 0.250 0.250
0.750 0.750 0.750
0.000 0.000 0.000



i is favored, and the nearest alternative lies 215 meV per atom above it.



## i
ErHf2Pa | Alexandria | PBE | optimized geometry; total moment = 0.000 μB/atom; ρ = 12.65 Mg/m³
1.0
-3.166 0.323 -3.287
-2.775 -2.871 2.391
-1.894 3.648 2.183
Hf Pa Er
2 1 1
direct
0.000 0.000 0.500
0.000 0.500 0.000
0.500 0.500 0.500
0.500 0.000 0.000



## ii
ErHf2Pa | Alexandria | PBE | optimized geometry; total moment = 0.000 μB/atom; ρ = 12.38 Mg/m³
1.0
-1.610 -2.820 1.987
2.703 -2.394 -1.207
3.936 1.652 5.534
Er Hf Pa
1 2 1
direct
0.500 0.500 0.500
0.000 0.000 0.788
0.000 0.000 0.212
0.500 0.500 0.000



ii is favored, and the nearest alternative lies 50 meV per atom above it.



## i
ErHfPb2 | Alexandria | PBE | optimized geometry; total moment = 0.000 μB/atom; ρ = 10.84 Mg/m³
1.0
4.592 0.000 0.000
2.296 3.977 0.000
2.296 1.326 6.377
Pb Er Hf
2 1 1
direct
0.087 0.087 0.739
0.248 0.248 0.255
0.672 0.672 0.985
0.493 0.493 0.521



## ii
ErHfPb2 | Alexandria | PBE | optimized geometry; total moment = 0.000 μB/atom; ρ = 12.37 Mg/m³
1.0
-3.647 -2.191 -1.018
-0.639 -1.102 4.658
-2.589 4.032 0.599
Hf Pb Er
1 2 1
direct
0.500 0.000 0.000
0.000 0.500 0.000
0.000 0.000 0.500
0.500 0.500 0.500



## iii
ErHfPb2 | Alexandria | PBE | optimized geometry; total moment = 0.078 μB/atom; ρ = 12.43 Mg/m³
1.0
3.391 0.000 0.000
0.000 3.391 0.000
0.000 0.000 8.830
Er Pb Hf
1 2 1
direct
0.500 0.500 0.500
0.000 0.000 0.760
0.000 0.000 0.240
0.500 0.500 0.000



iii is favored, and the nearest alternative lies 34 meV per atom above it.



## i
ErHfPb | Alexandria | PBE | optimized geometry; total moment = 0.341 μB/atom; ρ = 11.60 Mg/m³
1.0
3.366 0.000 0.000
0.000 5.212 0.000
0.000 -2.606 4.513
Er Pb Hf
1 1 1
direct
0.666 0.667 0.333
0.168 0.333 0.667
0.166 0.000 0.000



## ii
ErHfPb | Alexandria | PBE | optimized geometry; total moment = 0.000 μB/atom; ρ = 11.85 Mg/m³
1.0
-1.377 -3.319 0.634
0.767 -0.973 -3.432
5.551 0.294 3.096
Er Pb Hf
1 1 1
direct
0.951 0.951 0.903
0.276 0.276 0.552
0.623 0.623 0.246



ii is favored, and the nearest alternative lies 158 meV per atom above it.



## i
PmErHf | Alexandria | PBE | optimized geometry; total moment = 0.007 μB/atom; ρ = 9.69 Mg/m³
1.0
-2.878 -1.696 0.377
2.775 -4.532 0.794
-1.294 3.125 4.175
Er Pm Hf
1 1 1
direct
0.667 0.667 0.333
0.166 0.000 0.000
0.167 0.333 0.667



## ii
PmErHf | Alexandria | PBE | optimized geometry; total moment = 0.000 μB/atom; ρ = 9.53 Mg/m³
1.0
3.439 0.000 0.000
-1.720 2.978 0.000
0.000 0.000 16.705
Pm Er Hf
2 2 2
direct
0.333 0.667 0.132
0.333 0.667 0.766
0.333 0.667 0.449
0.667 0.333 0.949
0.667 0.333 0.606
0.667 0.333 0.292



ii is favored, and the nearest alternative lies 57 meV per atom above it.



## i
PrErHf | Alexandria | PBE | optimized geometry; total moment = 0.000 μB/atom; ρ = 9.36 Mg/m³
1.0
-3.370 -0.582 0.138
2.024 -2.084 -1.810
1.124 -4.880 6.876
Pr Hf Er
1 1 1
direct
0.000 0.000 0.019
0.667 0.333 0.338
0.333 0.667 0.642



## ii
PrErHf | Alexandria | PBE | optimized geometry; total moment = 0.000 μB/atom; ρ = 9.30 Mg/m³
1.0
3.366 0.000 0.000
0.000 3.366 0.000
-1.683 -1.683 7.670
Er Hf Pr
1 1 1
direct
0.318 0.318 0.636
0.673 0.673 0.346
0.009 0.009 0.018



ii is favored, and the nearest alternative lies 18 meV per atom above it.